Record 1
An optimized crystal structure of AlIn2BW. Source: the Alexandria database, functional GGA-PBEsol.

Geometry as POSCAR:
```
AlIn2BW
1.0
-4.720 1.213 0.095
-1.271 -4.834 -1.422
-0.259 -1.402 4.997
In Al W B
2 1 1 1
direct
0.000 0.500 0.000
0.000 0.000 0.500
0.500 0.000 0.000
0.000 0.000 0.000
0.500 0.500 0.500
```

Values from the calculation:
For the total energy, the calculation gives -4.49 eV per atom. The formation energy comes out at 1.6850 eV/atom. The volume is 26.3 A^3/atom.



Record 2
An optimized crystal structure of Dy2Ni7Sn3. Source: the Alexandria database, functional GGA-PBEsol.

Geometry as POSCAR:
```
Dy2Ni7Sn3
1.0
-6.965 -0.710 -2.537
-2.833 -0.624 7.951
-2.760 11.318 4.409
Dy Ni Sn
8 28 12
direct
0.573 0.807 0.387
0.073 0.693 0.613
0.500 0.294 0.000
0.927 0.307 0.387
0.000 0.794 0.000
0.427 0.193 0.613
0.000 0.206 0.000
0.500 0.706 0.000
0.422 0.846 0.606
0.922 0.654 0.394
0.592 0.355 0.767
0.055 0.101 0.799
0.146 0.546 0.907
0.092 0.145 0.233
0.690 0.665 0.671
0.408 0.123 0.233
0.310 0.335 0.329
0.945 0.899 0.201
0.408 0.645 0.233
0.422 0.549 0.606
0.908 0.377 0.767
0.445 0.601 0.799
0.555 0.399 0.201
0.578 0.451 0.394
0.922 0.951 0.394
0.092 0.623 0.233
0.078 0.049 0.606
0.810 0.165 0.671
0.854 0.454 0.093
0.190 0.835 0.329
0.354 0.046 0.907
0.078 0.346 0.606
0.578 0.154 0.394
0.908 0.855 0.767
0.592 0.877 0.767
0.646 0.954 0.093
0.205 0.438 0.123
0.795 0.562 0.877
0.250 0.356 0.788
0.750 0.644 0.212
0.250 0.031 0.437
0.250 0.856 0.788
0.295 0.938 0.123
0.750 0.969 0.563
0.705 0.062 0.877
0.750 0.144 0.212
0.250 0.531 0.437
0.750 0.469 0.563
```

Values from the calculation:
For the total energy, the calculation gives -5.95 eV per atom. The formation energy comes out at -0.4606 eV/atom. The volume is 15.4 A^3/atom.



Record 3
An optimized crystal structure of EuMgGa2. Source: the Alexandria database, functional GGA-PBEsol.

Geometry as POSCAR:
```
EuMgGa2
1.0
-0.995 -0.657 -4.605
-3.383 -3.184 3.642
-4.421 4.979 0.245
Ga Mg Eu
4 2 2
direct
0.389 0.777 0.056
0.611 0.223 0.944
0.611 0.223 0.556
0.389 0.777 0.444
0.802 0.604 0.250
0.198 0.396 0.750
0.895 0.791 0.750
0.105 0.209 0.250
```

Values from the calculation:
For the total energy, the calculation gives -5.17 eV per atom. The formation energy comes out at -0.4344 eV/atom. The volume is 21.4 A^3/atom.



Record 4
An optimized crystal structure of Li2LaP2. Source: the Alexandria database, functional GGA-PBEsol.

Geometry as POSCAR:
```
Li2LaP2
1.0
2.998 0.000 0.000
0.000 7.514 0.000
0.000 0.000 7.514
La P Li
2 4 4
direct
0.000 0.000 0.000
0.000 0.500 0.500
0.500 0.817 0.317
0.500 0.683 0.817
0.500 0.183 0.683
0.500 0.317 0.183
0.000 0.111 0.389
0.000 0.889 0.611
0.000 0.611 0.111
0.000 0.389 0.889
```

Values from the calculation:
For the total energy, the calculation gives -4.89 eV per atom. The formation energy comes out at -0.7142 eV/atom. The volume is 16.9 A^3/atom.



Record 5
An optimized crystal structure of BeCo2Si. Source: the Alexandria database, functional GGA-PBEsol.

Geometry as POSCAR:
```
BeCo2Si
1.0
-2.368 -0.870 -0.035
0.971 -2.571 -1.758
0.829 -2.420 3.996
Be Si Co
1 1 2
direct
0.500 0.500 0.775
0.000 0.000 0.490
0.000 0.000 0.965
0.500 0.500 0.270
```

Values from the calculation:
For the total energy, the calculation gives -6.63 eV per atom. The volume is 9.8 A^3/atom. The energy above the most stable polymorph in this dataset is 0.3504 eV per atom.



Record 6
An optimized crystal structure of MnZnCo3. Source: the Alexandria database, functional GGA-PBEsol.

Geometry as POSCAR:
```
MnZnCo3
1.0
4.231 0.000 0.000
0.000 4.231 0.000
0.000 0.000 4.231
Co Zn Mn
3 1 1
direct
0.500 0.000 0.000
0.000 0.500 0.000
0.000 0.000 0.500
0.000 0.000 0.000
0.500 0.500 0.500
```

Values from the calculation:
For the total energy, the calculation gives -5.55 eV per atom. The formation energy comes out at 1.3652 eV/atom. The volume is 15.1 A^3/atom.



Record 7
An optimized crystal structure of Pa. Source: the Alexandria database, functional GGA-PBEsol.

Geometry as POSCAR:
```
Pa
1.0
-2.047 -0.322 -2.487
-2.994 -1.121 0.504
-2.540 1.988 -0.274
Pa
1
direct
0.000 0.000 0.000
```

Values from the calculation:
For the total energy, the calculation gives -10.23 eV per atom. The formation energy comes out at 0.0048 eV/atom. The volume is 24.0 A^3/atom. The energy above the most stable polymorph in this dataset is 0.0048 eV per atom.



Record 8
An optimized crystal structure of YReS2. Source: the Alexandria database, functional GGA-PBEsol.

Geometry as POSCAR:
```
YReS2
1.0
5.038 0.000 0.000
0.000 5.038 0.000
-2.519 -2.519 6.602
Re S Y
2 4 2
direct
0.000 0.000 0.000
0.250 0.750 0.500
0.125 0.059 0.750
0.625 0.691 0.750
0.941 0.375 0.250
0.309 0.875 0.250
0.750 0.250 0.500
0.500 0.500 0.000
```

Values from the calculation:
For the total energy, the calculation gives -7.87 eV per atom. The volume is 20.9 A^3/atom.



Record 9
An optimized crystal structure of BeCr2. Source: the Alexandria database, functional GGA-PBEsol.

Geometry as POSCAR:
```
BeCr2
1.0
2.297 0.000 0.000
-1.149 4.621 0.017
0.000 -1.482 5.816
Cr Be
4 2
direct
0.693 0.385 0.152
0.307 0.615 0.848
0.377 0.754 0.494
0.623 0.246 0.506
0.961 0.921 0.181
0.039 0.079 0.819
```

Values from the calculation:
For the total energy, the calculation gives -7.96 eV per atom. The formation energy comes out at 0.2003 eV/atom. The volume is 10.3 A^3/atom.



Record 10
An optimized crystal structure of CrReTe. Source: the Alexandria database, functional GGA-PBEsol.

Geometry as POSCAR:
```
CrReTe
1.0
-1.037 -0.306 2.849
2.975 -2.528 0.812
1.246 4.385 -0.706
Te Cr Re
1 1 1
direct
0.331 0.331 0.662
0.005 0.005 0.010
0.664 0.664 0.328
```

Values from the calculation:
For the total energy, the calculation gives -8.33 eV per atom. The volume is 15.7 A^3/atom.



Record 11
An optimized crystal structure of Mn3NiO8. Source: the Alexandria database, functional GGA-PBEsol.

Geometry as POSCAR:
```
Mn3NiO8
1.0
-2.427 -2.987 4.181
2.823 -0.964 4.836
-1.594 2.582 4.805
Mn O Ni
3 8 1
direct
0.500 0.500 0.000
0.000 0.500 0.500
0.500 0.000 0.500
0.735 0.735 0.735
0.767 0.263 0.767
0.233 0.233 0.737
0.737 0.233 0.233
0.233 0.737 0.233
0.263 0.767 0.767
0.767 0.767 0.263
0.265 0.265 0.265
0.000 0.000 0.000
```

Values from the calculation:
For the total energy, the calculation gives -7.80 eV per atom. The volume is 10.8 A^3/atom. The energy above the most stable polymorph in this dataset is 0.0000 eV per atom.



Record 12
An optimized crystal structure of Rb2SiPd. Source: the Alexandria database, functional GGA-PBEsol.

Geometry as POSCAR:
```
Rb2SiPd
1.0
4.545 0.000 0.000
2.273 8.951 0.000
2.273 0.000 8.951
Pd Rb Si
2 4 2
direct
0.750 0.500 0.500
0.000 0.000 0.000
0.929 0.196 0.696
0.821 0.804 0.304
0.375 0.696 0.804
0.875 0.304 0.196
0.500 0.000 0.000
0.250 0.500 0.500
```

Values from the calculation:
For the total energy, the calculation gives -3.40 eV per atom. The volume is 45.5 A^3/atom.



> Look up the total energy of the eighth one.

-7.87 eV per atom